VASP calculation (PBE-GGA) on an optimized crystal structure of K2RbIn.

Cell lengths 14.3074, 14.3074, 14.3074 Å; angles 157.10, 157.10, 32.61 degrees
Sites, in units of the cell vectors:
K: 0.0957 0.6250 0.9707
K: 0.3750 0.3457 0.4707
K: 0.6543 0.1250 0.0293
K: 0.8750 0.9043 0.5293
Rb: 0.2500 0.7500 0.5000
Rb: 0.5000 0.5000 0.0000
In: 0.0000 0.0000 0.0000
In: 0.7500 0.2500 0.5000

Summary:
Formation energy from the elements in eV per atom: 0.14
Total energy in eV/cell: -10.66



VASP calculation (PBE-GGA) on an optimized crystal structure of CaSiTe3.

Cell lengths 5.7741, 5.7741, 5.7741 Å; angles 90.00, 90.00, 90.00 degrees
Sites, in units of the cell vectors:
Ca: 0.0000 0.0000 0.0000
Si: 0.5000 0.5000 0.5000
Te: 0.0000 0.0000 0.5000
Te: 0.0000 0.5000 0.0000
Te: 0.5000 0.0000 0.0000

Summary:
Distance to the lowest polymorph of the same formula in eV/atom: 1.117
Total energy in eV/cell: -14.18
Formation energy (no corrections) in meV/atom: 535



Number 1: magnetic moment 0.0 Bohr magnetons per cell. Number 2: magnetic moment 0.0 Bohr magnetons per cell.